No. 1
This record from Alexandria via LeMat-Bulk describes In2GeSe2 after structural relaxation. The functional is GGA-PBE.

Lattice parameters (Å, degrees): 7.882 7.882 4.148 90.00 90.00 90.00
Space group P4/mbm (No. 127)
Asymmetric unit:
In1 0.138 0.362 0.000
Ge1 0.000 0.000 0.500
Se1 0.185 0.685 0.500

Results
* raw formation energy: -0.073 eV/atom
* final energy: -3.486 eV per atom

***

No. 2
This record from Alexandria via LeMat-Bulk describes Pr6Nd4Ho after structural relaxation. The functional is GGA-PBE.

Lattice parameters (Å, degrees): 6.760 6.760 17.535 90.00 90.00 90.00
Space group I-42m (No. 121)
Asymmetric unit:
Pr1 0.000 0.500 0.000
Pr2 0.178 0.178 0.372
Nd1 0.189 0.189 0.177
Ho1 0.000 0.000 0.000

Results
* formation enthalpy at 0 K: 270 meV/atom
* final energy: -4.487 eV per atom

***

No. 3
This record from Alexandria via LeMat-Bulk describes CdTcBi2 after structural relaxation. The functional is GGA-PBE.

Lattice parameters (Å, degrees): 3.1897 3.1897 35.9287 90.00 90.00 120.00
Space group R-3m (No. 166, hexagonal axes)
Asymmetric unit:
Cd1 0.0000 0.0000 0.0000
Tc1 0.0000 0.0000 0.5000
Bi1 0.0000 0.0000 0.4228

Results
* formation enthalpy at 0 K: 767 meV/atom
* final energy: -3.993 eV per atom

***

No. 4
This record from Alexandria via LeMat-Bulk describes Tb3SmSb3 after structural relaxation. The functional is GGA-PBE.

Lattice parameters (Å, degrees): 9.0811 9.0811 18.4949 90.00 90.00 120.00
Space group R-3 (No. 148, hexagonal axes)
Asymmetric unit:
Tb1 0.0030 0.2666 0.0852
Sm1 0.0000 0.0000 0.3338
Sb1 0.0040 0.3842 0.9184

Results
* distance to the lowest polymorph of the same formula: 101.4 meV/atom
* raw formation energy: -0.919 eV/atom
* final energy: -5.344 eV per atom